No. 1
Computed, not measured: Pr2Ge2Ir after structural relaxation at the PBE-GGA level of DFT.

Properties
DFT total energy ... -5.9016 eV/atom
Volume ... 24.2 A^3/atom

Cell and atoms, written as CIF:
```
data_Pr2Ge2Ir
_cell_length_a 5.031
_cell_length_b 5.031
_cell_length_c 9.570
_cell_angle_alpha 90.00
_cell_angle_beta 90.00
_cell_angle_gamma 90.00
_space_group_name_H-M_alt 'I 4/m m m'
_space_group_IT_number 139
_space_group_name_Hall '-I 4 2'
loop_
_atom_site_label
_atom_site_type_symbol
_atom_site_fract_x
_atom_site_fract_y
_atom_site_fract_z
_atom_site_occupancy
Pr1 Pr 0.000 0.000 0.183 1
Ge1 Ge 0.000 0.500 0.000 1
Ir1 Ir 0.000 0.000 0.500 1
```

No. 2
Computed, not measured: PrGeIr after structural relaxation at the PBE-GGA level of DFT.

Properties
DFT total energy ... -6.8785 eV/atom
Volume ... 20.5 A^3/atom

Cell and atoms, written as CIF:
```
data_PrGeIr
_cell_length_a 7.219
_cell_length_b 4.486
_cell_length_c 7.608
_cell_angle_alpha 90.00
_cell_angle_beta 90.00
_cell_angle_gamma 90.00
_space_group_name_H-M_alt 'P n m a'
_space_group_IT_number 62
loop_
_space_group_symop_operation_xyz
'x,y,z'
'-x,-y,-z'
'-x+1/2,-y,z+1/2'
'x+1/2,y,-z+1/2'
'x+1/2,-y+1/2,-z+1/2'
'-x+1/2,y+1/2,z+1/2'
'-x,y+1/2,-z'
'x,-y+1/2,z'
loop_
_atom_site_label
_atom_site_type_symbol
_atom_site_fract_x
_atom_site_fract_y
_atom_site_fract_z
_atom_site_occupancy
Pr1 Pr 0.018 0.250 0.193 1
Ge1 Ge 0.170 0.250 0.580 1
Ir1 Ir 0.200 0.750 0.402 1
```

No. 3
Computed, not measured: Pr3Ge3Ir2 after structural relaxation at the PBE-GGA level of DFT.

Properties
DFT total energy ... -6.5536 eV/atom
Volume ... 22.4 A^3/atom

Cell and atoms, written as CIF:
```
data_Pr3Ge3Ir2
_cell_length_a 4.391
_cell_length_b 11.060
_cell_length_c 14.763
_cell_angle_alpha 90.00
_cell_angle_beta 90.00
_cell_angle_gamma 90.00
_space_group_name_H-M_alt 'C m c m'
_space_group_IT_number 63
_space_group_name_Hall '-C 2c 2'
loop_
_atom_site_label
_atom_site_type_symbol
_atom_site_fract_x
_atom_site_fract_y
_atom_site_fract_z
_atom_site_occupancy
Pr1 Pr 0.000 0.081 0.109 1
Pr2 Pr 0.000 0.358 0.250 1
Ge1 Ge 0.000 0.338 0.750 1
Ge2 Ge 0.000 0.363 0.035 1
Ir1 Ir 0.000 0.204 0.602 1
```

No. 4
Computed, not measured: Pr6Ge2Ir after structural relaxation at the PBE-GGA level of DFT.

Properties
DFT total energy ... -5.7610 eV/atom
Volume ... 28.1 A^3/atom

Cell and atoms, written as CIF:
```
data_Pr6Ge2Ir
_cell_length_a 8.1986
_cell_length_b 8.1986
_cell_length_c 4.3498
_cell_angle_alpha 90.00
_cell_angle_beta 90.00
_cell_angle_gamma 120.00
_space_group_name_H-M_alt 'P -6 2 m'
_space_group_IT_number 189
_space_group_name_Hall 'P -6 -2'
loop_
_atom_site_label
_atom_site_type_symbol
_atom_site_fract_x
_atom_site_fract_y
_atom_site_fract_z
_atom_site_occupancy
Pr1 Pr 0.0000 0.4112 0.0000 1
Pr2 Pr 0.0000 0.7484 0.5000 1
Ge1 Ge 0.3333 0.6667 0.5000 1
Ir1 Ir 0.0000 0.0000 0.0000 1
```